1.
First-principles (GGA-PBE) data for a geometry-optimized Er4Si2I5 structure, as listed in the Alexandria database.

Cell: 4.101 8.396 14.209 Å, 107.18 98.30 90.00°
Positions (direct):
I 0.833 0.085 0.666
I 0.167 0.419 0.334
I 0.500 0.000 0.000
I 0.167 0.915 0.334
Si 0.458 0.458 0.915
Er 0.000 0.699 0.000
Er 0.000 0.301 0.000
Si 0.542 0.542 0.085
Er 0.360 0.360 0.720
Er 0.640 0.640 0.280
I 0.833 0.581 0.666

As for the formation energy without anion corrections: -0.86 eV/atom.



2.
First-principles (GGA-PBE) data for a geometry-optimized HgHPd2Pt structure, as listed in the Alexandria database.

Cell: 4.205 4.205 3.913 Å, 90.00 90.00 90.00°
Positions (direct):
Pd 0.500 0.000 0.000
Pd 0.000 0.500 0.000
Pt 0.000 0.000 0.500
H 0.000 0.000 0.000
Hg 0.500 0.500 0.500

As for the uncorrected energy: -4.1239 eV/atom.



3.
First-principles (GGA-PBE) data for a geometry-optimized CrGaIr structure, as listed in the Alexandria database.

Cell: 2.722 4.230 4.230 Å, 120.00 90.00 90.00°
Positions (direct):
Cr 0.333 0.333 0.667
Ga 0.834 0.000 0.000
Ir 0.833 0.667 0.333

As for the uncorrected energy: -7.2464 eV/atom.



4.
First-principles (GGA-PBE) data for a geometry-optimized MnIn2Rh structure, as listed in the Alexandria database.

Cell: 3.190 3.190 7.394 Å, 90.00 90.00 90.00°
Positions (direct):
In 0.000 0.000 0.951
Mn 0.000 0.000 0.532
In 0.500 0.500 0.293
Rh 0.500 0.500 0.724

As for the uncorrected energy: -5.5349 eV/atom.



5.
First-principles (GGA-PBE) data for a geometry-optimized Nd3Al2Au3 structure, as listed in the Alexandria database.

Cell: 5.893 8.462 15.357 Å, 90.00 90.00 90.00°
Positions (direct):
Al 0.382 0.406 0.599
Al 0.882 0.094 0.099
Nd 0.129 0.446 0.393
Nd 0.371 0.946 0.107
Al 0.382 0.406 0.901
Au 0.386 0.696 0.543
Au 0.386 0.696 0.957
Al 0.118 0.906 0.599
Au 0.614 0.304 0.457
Nd 0.871 0.554 0.893
Au 0.614 0.304 0.043
Au 0.114 0.196 0.957
Al 0.118 0.906 0.901
Au 0.400 0.658 0.250
Nd 0.371 0.946 0.393
Nd 0.894 0.801 0.250
Au 0.886 0.804 0.457
Au 0.100 0.158 0.250
Nd 0.106 0.199 0.750
Al 0.618 0.594 0.099
Nd 0.871 0.554 0.607
Al 0.882 0.094 0.401
Nd 0.129 0.446 0.107
Au 0.900 0.842 0.750
Nd 0.629 0.054 0.607
Nd 0.606 0.301 0.250
Nd 0.629 0.054 0.893
Nd 0.394 0.699 0.750
Au 0.114 0.196 0.543
Au 0.886 0.804 0.043
Au 0.600 0.342 0.750
Al 0.618 0.594 0.401

As for the uncorrected energy: -4.6606 eV/atom.



6.
First-principles (GGA-PBE) data for a geometry-optimized TiReTe2W structure, as listed in the Alexandria database.

Cell: 5.110 4.720 5.110 Å, 90.00 90.00 90.00°
Positions (direct):
W 0.000 0.500 0.000
Re 0.500 0.500 0.500
Te 0.500 0.000 0.000
Ti 0.000 0.000 0.000
Te 0.000 0.000 0.500

As for the formation energy without anion corrections: 1.82 eV/atom.



7.
First-principles (GGA-PBE) data for a geometry-optimized MgZrGe2H structure, as listed in the Alexandria database.

Cell: 4.722 5.367 4.722 Å, 90.00 90.00 90.00°
Positions (direct):
H 0.500 0.500 0.500
Ge 0.000 0.000 0.500
Ge 0.500 0.000 0.000
Zr 0.000 0.500 0.000
Mg 0.000 0.000 0.000

As for the uncorrected energy: -3.2741 eV/atom.



8.
First-principles (GGA-PBE) data for a geometry-optimized Sc2Cd structure, as listed in the Alexandria database.

Cell: 7.427 7.427 4.525 Å, 90.00 90.00 120.00°
Positions (direct):
Sc 0.749 0.749 0.000
Sc 0.000 0.251 0.000
Sc 0.417 0.417 0.500
Sc 0.000 0.583 0.500
Cd 0.333 0.667 0.000
Sc 0.251 0.000 0.000
Cd 0.667 0.333 0.000
Sc 0.583 0.000 0.500
Cd 0.000 0.000 0.500

As for the uncorrected energy: -4.5804 eV/atom.